[1]
Na2Y2NiSn2Pd: optimized geometry, PBE.

Results
**Total energy**: -37.79 eV for the cell shown

abc: 4.8416 4.8416 6.8743
angles: 90.00 90.00 90.00
Closest atoms and distances in Å follow each position.
Fractional coordinates of all 8 atoms:
Y 0.5000 0.0000 0.2430  4 Na 2.94-3.00, 2 Ni 2.94, 2 Pd 3.00
Na 0.5000 0.5000 0.0000  4 Y 2.94, 4 Sn 2.95
Na 0.0000 0.0000 0.5000  4 Sn 2.99, 4 Y 3.00
Y 0.0000 0.5000 0.7570  4 Na 2.94-3.00, 2 Ni 2.94, 2 Pd 3.00
Ni 0.0000 0.0000 0.0000  4 Y 2.94, 4 Sn 2.95
Sn 0.0000 0.5000 0.2440  2 Ni 2.95, 4 Na 2.95-2.99, 2 Pd 2.99
Sn 0.5000 0.0000 0.7560  4 Na 2.95-2.99, 2 Ni 2.95, 2 Pd 2.99
Pd 0.5000 0.5000 0.5000  4 Sn 2.99, 4 Y 3.00


[2]
NaNiTe3Pd: optimized geometry, PBE.

Results
**Total energy**: -46.82 eV for the cell shown

abc: 7.7703 3.9136 9.8448
angles: 90.00 107.66 90.00
Closest atoms and distances in Å follow each position.
Fractional coordinates of all 12 atoms:
Ni 0.3112 0.2500 0.3535  6 Te 2.61-2.65
Te 0.4568 0.2500 0.6301  3 Ni 2.61-2.63
Te 0.5432 0.7500 0.3699  3 Ni 2.61-2.63
Te 0.8946 0.2500 0.6019  2 Ni 2.65, 1 Pd 2.67
Na 0.7702 0.2500 0.2015  2 Pd 3.26, 7 Te 3.30-3.65
Pd 0.0586 0.7500 0.1181  4 Te 2.67-2.74, 2 Pd 2.96
Na 0.2298 0.7500 0.7985  2 Pd 3.26, 7 Te 3.30-3.65
Te 0.2779 0.2500 0.0779  1 Ni 2.65, 3 Pd 2.70-2.74
Te 0.1054 0.7500 0.3981  2 Ni 2.65, 1 Pd 2.67
Te 0.7221 0.7500 0.9221  1 Ni 2.65, 3 Pd 2.70-2.74
Pd 0.9414 0.2500 0.8819  4 Te 2.67-2.74, 2 Pd 2.96
Ni 0.6888 0.7500 0.6465  6 Te 2.61-2.65


[3]
Na4Zn2NiPd: optimized geometry, PBE.

Results
**Total energy**: -17.87 eV for the cell shown

abc: 4.6631 4.6631 6.6156
angles: 90.00 90.00 90.00
Closest atoms and distances in Å follow each position.
Fractional coordinates of all 8 atoms:
Ni 0.0000 0.0000 0.0000  4 Zn 2.81, 4 Na 2.84
Zn 0.0000 0.5000 0.2376  4 Na 2.81-2.91, 2 Ni 2.81, 2 Pd 2.91
Pd 0.5000 0.5000 0.5000  4 Na 2.87, 4 Zn 2.91
Zn 0.5000 0.0000 0.7624  4 Na 2.81-2.91, 2 Ni 2.81, 2 Pd 2.91
Na 0.0000 0.5000 0.7541  2 Ni 2.84, 4 Na 2.84-2.87, 2 Pd 2.87
Na 0.5000 0.5000 0.0000  4 Zn 2.81, 4 Na 2.84
Na 0.5000 0.0000 0.2459  4 Na 2.84-2.87, 2 Ni 2.84, 2 Pd 2.87
Na 0.0000 0.0000 0.5000  4 Na 2.87, 4 Zn 2.91


[4]
NaPrNiTe3: optimized geometry, PBE.

Results
**Total energy**: -51.84 eV for the cell shown

abc: 4.2219 11.2122 7.9406
angles: 90.00 105.42 90.00
Closest atoms and distances in Å follow each position.
Fractional coordinates of all 12 atoms:
Na 0.7473 0.5000 0.4946  6 Te 3.23-3.25
Te 0.6369 0.1535 0.2737  1 Ni 2.56
Te 0.9125 0.0000 0.8249  2 Ni 2.62
Te 0.3631 0.3465 0.7263  1 Ni 2.56
Te 0.6369 0.8465 0.2737  1 Ni 2.56
Na 0.2527 0.0000 0.5054  6 Te 3.23-3.25
Te 0.3631 0.6535 0.7263  1 Ni 2.56
Te 0.0875 0.5000 0.1751  2 Ni 2.62
Ni 0.5135 0.0000 0.0269  4 Te 2.56-2.62
Ni 0.4865 0.5000 0.9731  4 Te 2.56-2.62
Pr 0.0000 0.7500 0.0000  6 Te 3.11-3.17
Pr 0.0000 0.2500 0.0000  6 Te 3.11-3.17


[5]
NaNiPt: optimized geometry, PBE.

Results
**Total energy**: -10.03 eV for the cell shown
**Offset from the most stable computed form**: 557 meV per atom

abc: 4.2362 4.2362 4.2362
angles: 60.00 60.00 60.00
Closest atoms and distances in Å follow each position.
Fractional coordinates of all 3 atoms:
Pt 0.7500 0.7500 0.7500  4 Na 2.59
Ni 0.2500 0.2500 0.2500  4 Na 2.59
Na 0.0000 0.0000 0.0000  4 Ni 2.59, 4 Pt 2.59


[6]
NaNiPt: optimized geometry, PBE.

Results
**Total energy**: -11.70 eV for the cell shown
**Offset from the most stable computed form**: 0 meV per atom

abc: 4.2099 4.2099 4.2099
angles: 60.00 60.00 60.00
Closest atoms and distances in Å follow each position.
Fractional coordinates of all 3 atoms:
Ni 0.0000 0.0000 0.0000  4 Pt 2.58, 4 Na 2.58
Na 0.2500 0.2500 0.2500  4 Ni 2.58
Pt 0.7500 0.7500 0.7500  4 Ni 2.58


[7]
Na2Y2NiSn2Pt: optimized geometry, PBE.

Results
**Total energy**: -39.13 eV for the cell shown

abc: 4.8400 4.8400 6.8653
angles: 90.00 90.00 90.00
Closest atoms and distances in Å follow each position.
Fractional coordinates of all 8 atoms:
Pt 0.5000 0.5000 0.5000  4 Y 2.98, 4 Sn 2.99
Sn 0.0000 0.5000 0.2434  4 Na 2.94-2.99, 2 Ni 2.94, 2 Pt 2.99
Na 0.5000 0.5000 0.0000  4 Sn 2.94, 4 Y 2.95
Sn 0.5000 0.0000 0.7566  4 Na 2.94-2.99, 2 Ni 2.94, 2 Pt 2.99
Y 0.5000 0.0000 0.2459  4 Na 2.95-2.98, 2 Ni 2.95, 2 Pt 2.98
Ni 0.0000 0.0000 0.0000  4 Sn 2.94, 4 Y 2.95
Y 0.0000 0.5000 0.7541  4 Na 2.95-2.98, 2 Ni 2.95, 2 Pt 2.98
Na 0.0000 0.0000 0.5000  4 Y 2.98, 4 Sn 2.99


[8]
NaPuNi: optimized geometry, PBE.

Results
**Total energy**: -18.35 eV for the cell shown
**Offset from the most stable computed form**: 426 meV per atom

abc: 4.7184 4.7184 4.7184
angles: 60.00 60.00 60.00
Closest atoms and distances in Å follow each position.
Fractional coordinates of all 3 atoms:
Pu 0.7500 0.7500 0.7500  4 Ni 2.89, 4 Na 2.89
Ni 0.5000 0.5000 0.5000  4 Pu 2.89
Na 0.0000 0.0000 0.0000  4 Pu 2.89


[9]
NaPuNi: optimized geometry, PBE.

Results
**Total energy**: -19.63 eV for the cell shown
**Offset from the most stable computed form**: 0 meV per atom

abc: 4.6654 4.6654 4.6654
angles: 60.00 60.00 60.00
Closest atoms and distances in Å follow each position.
Fractional coordinates of all 3 atoms:
Pu 0.2500 0.2500 0.2500  4 Ni 2.86
Na 0.7500 0.7500 0.7500  4 Ni 2.86
Ni 0.0000 0.0000 0.0000  4 Pu 2.86, 4 Na 2.86


[10]
RbNaNi: optimized geometry, PBE.

Results
**Total energy**: -5.75 eV for the cell shown
**Offset from the most stable computed form**: 0 meV per atom

abc: 5.2882 5.2882 5.2882
angles: 60.00 60.00 60.00
Closest atoms and distances in Å follow each position.
Fractional coordinates of all 3 atoms:
Na 0.2500 0.2500 0.2500  4 Ni 3.24
Rb 0.7500 0.7500 0.7500  4 Ni 3.24
Ni 0.0000 0.0000 0.0000  4 Na 3.24, 4 Rb 3.24


[11]
RbNaNi: optimized geometry, PBE.

Results
**Total energy**: -4.89 eV for the cell shown
**Offset from the most stable computed form**: 288 meV per atom

abc: 5.3499 5.3499 5.3499
angles: 60.00 60.00 60.00
Closest atoms and distances in Å follow each position.
Fractional coordinates of all 3 atoms:
Na 0.2500 0.2500 0.2500  4 Rb 3.28
Rb 0.0000 0.0000 0.0000  4 Ni 3.28, 4 Na 3.28
Ni 0.7500 0.7500 0.7500  4 Rb 3.28


[12]
Na2Ni3S4: optimized geometry, PBE.

Results
**Total energy**: -41.40 eV for the cell shown

abc: 7.7174 6.4729 5.7422
angles: 78.11 55.16 46.73
Closest atoms and distances in Å follow each position.
Fractional coordinates of all 9 atoms:
S 0.7871 0.4648 0.5352  3 Ni 2.19-2.21
Ni 0.5000 0.5000 0.0000  4 S 2.21
Ni 0.5000 0.5000 0.5000  4 S 2.19
Na 0.8500 0.8500 0.1500  8 S 3.08-3.42, 6 Ni 3.28-3.37
Ni 0.0000 0.0000 0.5000  4 S 2.21
Na 0.1500 0.1500 0.8500  8 S 3.08-3.42, 6 Ni 3.28-3.37
S 0.4648 0.7871 0.2129  3 Ni 2.19-2.21
S 0.2129 0.5352 0.4648  3 Ni 2.19-2.21
S 0.5352 0.2129 0.7871  3 Ni 2.19-2.21